[1]
The following is a DFT calculation (meta-GGA SCAN) of Cs2InAuBr6 at its PBEsol-relaxed geometry.

## Properties
uncorrected formation energy: -1.176 eV/atom
total magnetic moment: 0.00 μB per cell
density of states at the Fermi level: 0.23 states/eV per atom

abc: 7.7100 7.7100 7.7100
angles: 60.00 60.00 60.00
Closest atoms and distances in Å follow each position.
Element x y z (fractional)
1 Cs 0.2500 0.2500 0.2500  12 Br 3.86
2 Cs 0.7500 0.7500 0.7500  12 Br 3.86
3 In 0.0000 0.0000 0.0000  6 Br 2.72
4 Au 0.5000 0.5000 0.5000  6 Br 2.73
5 Br 0.2496 0.2496 0.7504  1 In 2.72, 1 Au 2.73
6 Br 0.2496 0.7504 0.2496  1 In 2.72, 1 Au 2.73
7 Br 0.2496 0.7504 0.7504  1 In 2.72, 1 Au 2.73
8 Br 0.7504 0.2496 0.2496  1 In 2.72, 1 Au 2.73
9 Br 0.7504 0.2496 0.7504  1 In 2.72, 1 Au 2.73
10 Br 0.7504 0.7504 0.2496  1 In 2.72, 1 Au 2.73


[2]
The following is a DFT calculation (meta-GGA SCAN) of CsPbAuBr2 at its PBEsol-relaxed geometry.

## Properties
uncorrected formation energy: -0.343 eV/atom
total magnetic moment: 0.00 μB per cell

abc: 5.6320 5.6320 12.7038
angles: 90.00 90.00 90.00
Closest atoms and distances in Å follow each position.
Element x y z (fractional)
1 Cs 0.0000 0.0000 0.0000  4 Au 3.98
2 Pb 0.0000 0.0000 0.5000  4 Br 2.82
3 Au 0.5000 0.5000 0.0000  4 Cs 3.98
4 Br 0.0000 0.5000 0.5000  2 Pb 2.82
5 Br 0.5000 0.0000 0.5000  2 Pb 2.82


[3]
The following is a DFT calculation (meta-GGA SCAN) of CsRh2AuBr at its PBEsol-relaxed geometry.

## Properties
uncorrected formation energy: 1.829 eV/atom
total magnetic moment: 1.89 μB per cell
density of states at the Fermi level: 0.77 states/eV per atom

abc: 4.9086 4.9086 6.1434
angles: 90.00 90.00 90.00
Closest atoms and distances in Å follow each position.
Element x y z (fractional)
1 Cs 0.0000 0.0000 0.0000  4 Rh 2.45
2 Rh 0.0000 0.5000 0.0000  2 Cs 2.45
3 Rh 0.5000 0.0000 0.0000  2 Cs 2.45
4 Au 0.5000 0.5000 0.5000  4 Br 3.47
5 Br 0.0000 0.0000 0.5000  2 Cs 3.07


[4]
The following is a DFT calculation (meta-GGA SCAN) of Cs2SbAuBr6 at its PBEsol-relaxed geometry.

## Properties
uncorrected formation energy: -1.079 eV/atom
total magnetic moment: 0.00 μB per cell
density of states at the Fermi level: 0.12 states/eV per atom

abc: 7.8151 7.8151 7.8151
angles: 60.00 60.00 60.00
Closest atoms and distances in Å follow each position.
Element x y z (fractional)
1 Cs 0.2500 0.2500 0.2500  12 Br 3.91
2 Cs 0.7500 0.7500 0.7500  12 Br 3.91
3 Sb 0.0000 0.0000 0.0000  6 Br 2.79
4 Au 0.5000 0.5000 0.5000  6 Br 2.74
5 Br 0.2525 0.2525 0.7475  1 Au 2.74, 1 Sb 2.79
6 Br 0.2525 0.7475 0.2525  1 Au 2.74, 1 Sb 2.79
7 Br 0.2525 0.7475 0.7475  1 Au 2.74, 1 Sb 2.79
8 Br 0.7475 0.2525 0.2525  1 Au 2.74, 1 Sb 2.79
9 Br 0.7475 0.2525 0.7475  1 Au 2.74, 1 Sb 2.79
10 Br 0.7475 0.7475 0.2525  1 Au 2.74, 1 Sb 2.79


[5]
The following is a DFT calculation (meta-GGA SCAN) of Cs2TlAuBr6 at its PBEsol-relaxed geometry.

## Properties
uncorrected formation energy: -1.076 eV/atom
total magnetic moment: 0.00 μB per cell
density of states at the Fermi level: 0.27 states/eV per atom

abc: 7.8072 7.8072 7.8072
angles: 60.00 60.00 60.00
Closest atoms and distances in Å follow each position.
Element x y z (fractional)
1 Cs 0.2500 0.2500 0.2500  12 Br 3.90
2 Cs 0.7500 0.7500 0.7500  12 Br 3.90
3 Tl 0.0000 0.0000 0.0000  6 Br 2.86
4 Au 0.5000 0.5000 0.5000  6 Br 2.66
5 Br 0.2591 0.2591 0.7409  1 Au 2.66, 1 Tl 2.86
6 Br 0.2591 0.7409 0.2591  1 Au 2.66, 1 Tl 2.86
7 Br 0.2591 0.7409 0.7409  1 Au 2.66, 1 Tl 2.86
8 Br 0.7409 0.2591 0.2591  1 Au 2.66, 1 Tl 2.86
9 Br 0.7409 0.2591 0.7409  1 Au 2.66, 1 Tl 2.86
10 Br 0.7409 0.7409 0.2591  1 Au 2.66, 1 Tl 2.86


[6]
The following is a DFT calculation (meta-GGA SCAN) of CuAuBr2 at its PBEsol-relaxed geometry.

## Properties
uncorrected formation energy: 0.138 eV/atom
total magnetic moment: 0.00 μB per cell
density of states at the Fermi level: 0.24 states/eV per atom

abc: 3.7295 3.7295 7.5823
angles: 90.00 90.00 123.17
Closest atoms and distances in Å follow each position.
Element x y z (fractional)
1 Cu 0.0000 0.0000 0.0000  4 Br 2.46
2 Au 0.0000 0.0000 0.5000  4 Br 2.74
3 Br 0.5000 0.5000 0.2255  2 Cu 2.46, 2 Au 2.74
4 Br 0.5000 0.5000 0.7745  2 Cu 2.46, 2 Au 2.74